# 1
Computed, not measured: crystalline AcSn2Pb at its relaxed geometry at the PBE-GGA level of DFT.

Output
The calculation puts the polymorph energy (0 for the lowest one) at 0 meV per atom.

Cell: 4.937 4.986 4.986 Å, 90.00 90.00 90.00°
Atoms (fractional coordinates):
Sn 0.000 0.500 0.000
Sn 0.000 0.000 0.500
Pb 0.500 0.000 0.000
Ac 0.500 0.500 0.500

***

# 2
Computed, not measured: crystalline Ac12Sn6Pb at its relaxed geometry at the PBE-GGA level of DFT.

Output
The calculation puts the polymorph energy (0 for the lowest one) at 0 meV per atom.

Cell: 9.895 9.895 9.895 Å, 109.47 109.47 109.47°
Atoms (fractional coordinates):
Ac 0.099 0.812 0.287
Ac 0.287 0.099 0.812
Ac 0.901 0.188 0.713
Ac 0.188 0.713 0.901
Ac 0.713 0.901 0.188
Ac 0.525 0.812 0.713
Ac 0.287 0.475 0.188
Ac 0.713 0.525 0.812
Ac 0.475 0.188 0.287
Ac 0.188 0.287 0.475
Ac 0.812 0.713 0.525
Ac 0.812 0.287 0.099
Pb 0.000 0.000 0.000
Sn 0.376 0.500 0.876
Sn 0.124 0.624 0.500
Sn 0.500 0.124 0.624
Sn 0.500 0.876 0.376
Sn 0.876 0.376 0.500
Sn 0.624 0.500 0.124

***

# 3
Computed, not measured: crystalline Ac2Sn2Pb3 at its relaxed geometry at the PBE-GGA level of DFT.

Output
The calculation puts the polymorph energy (0 for the lowest one) at 180 meV per atom.

Cell: 8.599 8.599 8.601 Å, 109.48 109.48 109.46°
Atoms (fractional coordinates):
Pb 0.747 0.750 0.997
Pb 0.497 0.247 0.750
Pb 0.753 0.250 0.503
Pb 0.250 0.997 0.247
Pb 0.750 0.503 0.253
Pb 0.003 0.253 0.250
Ac 0.994 0.500 0.000
Ac 0.000 0.000 0.494
Ac 0.500 0.495 0.500
Ac 0.505 0.006 0.005
Sn 0.376 0.500 0.000
Sn 0.500 0.876 0.500
Sn 0.124 0.624 0.624
Sn 0.000 0.000 0.876

***

# 4
Computed, not measured: crystalline Ac2Sn2Pb at its relaxed geometry at the PBE-GGA level of DFT.

Output
The calculation puts the polymorph energy (0 for the lowest one) at 68 meV per atom.

Cell: 4.505 4.693 8.452 Å, 106.12 90.00 90.00°
Atoms (fractional coordinates):
Ac 0.500 0.373 0.746
Ac 0.500 0.627 0.254
Pb 0.000 0.000 0.000
Sn 0.000 0.195 0.390
Sn 0.000 0.805 0.610

***

# 5
Computed, not measured: crystalline Ac2SnPb at its relaxed geometry at the PBE-GGA level of DFT.

Cell: 3.857 3.857 9.324 Å, 90.00 90.00 90.00°
Atoms (fractional coordinates):
Ac 0.000 0.000 0.755
Ac 0.000 0.000 0.245
Sn 0.500 0.500 0.000
Pb 0.500 0.500 0.500

***

# 6
Computed, not measured: crystalline Ac4Sn5Pb3 at its relaxed geometry at the PBE-GGA level of DFT.

Cell: 5.465 9.825 10.760 Å, 121.37 75.29 73.85°
Atoms (fractional coordinates):
Sn 0.036 0.648 0.280
Sn 0.964 0.352 0.720
Sn 0.500 0.500 0.500
Sn 0.388 0.055 0.169
Sn 0.612 0.945 0.831
Ac 0.810 0.280 0.101
Ac 0.745 0.098 0.411
Ac 0.255 0.902 0.589
Ac 0.190 0.720 0.899
Pb 0.579 0.702 0.140
Pb 0.421 0.298 0.860
Pb 0.000 0.500 0.500

***

Calculated total energy? In order: -17.698, -85.677, -58.433, -22.817, -18.159, -52.064 eV/cell.
ΔE_f? In order: -0.469, -0.455, -0.267, -0.577, -0.558, -0.374 eV per atom.